This record from the Alexandria database describes a PBEsol-optimized structure of Tl2AsS. The functional is meta-GGA SCAN.

Output
DOS(E_F) ... 0.77 states/eV per atom
ΔE_f (raw) ... 24.1 kJ/mol of atoms

Geometry as POSCAR:
```
Tl2AsS
1.0
0.0000 3.5599 3.5599
3.5599 0.0000 3.5599
3.5599 3.5599 0.0000
Tl As S
2 1 1
direct
0.2500 0.2500 0.2500 Tl
0.7500 0.7500 0.7500 Tl
0.0000 0.0000 0.0000 As
0.5000 0.5000 0.5000 S
```

This record from the Alexandria database describes a PBEsol-optimized structure of Tl3AsS3. The functional is meta-GGA SCAN.

Output
ΔE_f (raw) ... -34.8 kJ/mol of atoms
ΔE to the lowest computed polymorph ... 0.0078 eV per atom

Geometry as POSCAR:
```
Tl3AsS3
1.0
4.6989 2.7129 2.3094
-4.6989 2.7129 2.3094
0.0000 -5.4259 2.3094
Tl As S
3 1 3
direct
0.2054 0.2054 0.5892 Tl
0.2054 0.5892 0.2054 Tl
0.5892 0.2054 0.2054 Tl
0.7543 0.7543 0.7543 As
0.1497 0.7746 0.7746 S
0.7746 0.1497 0.7746 S
0.7746 0.7746 0.1497 S
```

This record from the Alexandria database describes a PBEsol-optimized structure of U2AsS. The functional is meta-GGA SCAN.

Output
DOS(E_F) ... 2.70 states/eV per atom
ΔE_f (raw) ... -87.9 kJ/mol of atoms

Geometry as POSCAR:
```
U2AsS
1.0
1.9502 1.1260 6.3421
-1.9502 1.1260 6.3421
0.0000 -2.2519 6.3421
U As S
2 1 1
direct
0.2443 0.2443 0.2443 U
0.7557 0.7557 0.7557 U
0.0000 0.0000 0.0000 As
0.5000 0.5000 0.5000 S
```

This record from the Alexandria database describes a PBEsol-optimized structure of AsW2S. The functional is meta-GGA SCAN.

Output
DOS(E_F) ... 0.74 states/eV per atom
ΔE_f (raw) ... 37.3 kJ/mol of atoms

Geometry as POSCAR:
```
AsW2S
1.0
0.0000 3.0464 3.0464
3.0464 0.0000 3.0464
3.0464 3.0464 0.0000
As W S
1 2 1
direct
0.0000 0.0000 0.0000 As
0.2500 0.2500 0.2500 W
0.7500 0.7500 0.7500 W
0.5000 0.5000 0.5000 S
```

This record from the Alexandria database describes a PBEsol-optimized structure of YAsS. The functional is meta-GGA SCAN.

Output
DOS(E_F) ... 0.10 states/eV per atom
ΔE_f (raw) ... -174.3 kJ/mol of atoms

Geometry as POSCAR:
```
YAsS
1.0
3.7760 0.0000 0.0000
0.0000 3.7760 0.0000
0.0000 0.0000 8.3956
Y As S
2 2 2
direct
0.2500 0.2500 0.2092 Y
0.7500 0.7500 0.7908 Y
0.2500 0.7500 0.5000 As
0.7500 0.2500 0.5000 As
0.2500 0.2500 0.8739 S
0.7500 0.7500 0.1261 S
```

This record from the Alexandria database describes a PBEsol-optimized structure of YAsS. The functional is meta-GGA SCAN.

Output
ΔE_f (raw) ... -164.4 kJ/mol of atoms

Geometry as POSCAR:
```
YAsS
1.0
6.9426 0.0000 0.0000
0.0000 3.7338 0.0000
0.0000 0.0000 9.3913
Y As S
4 4 4
direct
0.2049 0.2500 0.1591 Y
0.2951 0.7500 0.6591 Y
0.7049 0.2500 0.3409 Y
0.7951 0.7500 0.8409 Y
0.1052 0.2500 0.4581 As
0.3948 0.7500 0.9581 As
0.6052 0.2500 0.0419 As
0.8948 0.7500 0.5419 As
0.0892 0.2500 0.8409 S
0.4108 0.7500 0.3409 S
0.5892 0.2500 0.6591 S
0.9108 0.7500 0.1591 S
```

This record from the Alexandria database describes a PBEsol-optimized structure of ZnAsS2. The functional is meta-GGA SCAN.

Output
DOS(E_F) ... 0.48 states/eV per atom
ΔE_f (raw) ... -3.0 kJ/mol of atoms
ΔE to the lowest computed polymorph ... 0.0000 eV per atom

Geometry as POSCAR:
```
ZnAsS2
1.0
1.7666 1.0199 7.2912
-1.7666 1.0199 7.2912
0.0000 -2.0398 7.2912
Zn As S
1 1 2
direct
0.0000 0.0000 0.0000 Zn
0.5000 0.5000 0.5000 As
0.3935 0.3935 0.3935 S
0.6065 0.6065 0.6065 S
```

This record from the Alexandria database describes a PBEsol-optimized structure of Zn2AsS. The functional is meta-GGA SCAN.

Output
DOS(E_F) ... 0.57 states/eV per atom
ΔE_f (raw) ... 34.4 kJ/mol of atoms

Geometry as POSCAR:
```
Zn2AsS
1.0
0.0000 3.1819 3.1819
3.1819 0.0000 3.1819
3.1819 3.1819 0.0000
Zn As S
2 1 1
direct
0.2500 0.2500 0.2500 Zn
0.7500 0.7500 0.7500 Zn
0.0000 0.0000 0.0000 As
0.5000 0.5000 0.5000 S
```